#1
The following is a PBE calculation of a relaxed CsAcW crystal, from the Open Quantum Materials Database.

The structure in extended XYZ format:
```
3
Lattice="0.0000 3.9611 3.9611 3.9611 0.0000 3.9611 3.9611 3.9611 0.0000" Properties=species:S:1:pos:R:3 pbc="T T T"
Ac 0.0000 0.0000 0.0000
Cs 1.9805 1.9805 1.9805
W 5.9416 5.9416 5.9416
```

Results
**Mass density**: 7264 kg/m³
**Crystal system**: cubic


#2
The following is a PBE calculation of a relaxed CsAcW crystal, from the Open Quantum Materials Database.

The structure in extended XYZ format:
```
3
Lattice="-0.2399 -5.1344 -1.5443 -0.0451 -3.9090 3.6773 -4.4722 -2.8473 0.8350" Properties=species:S:1:pos:R:3 pbc="T T T"
Ac -2.3786 -5.9453 1.4840
Cs -1.1893 -2.9727 0.7420
W 0.0000 0.0000 0.0000
```

Results
**Mass density**: 8260 kg/m³
**Crystal system**: cubic


Short version: #2 is the least stable of them.